Record 1
Density functional theory data (GGA-PBE) for a relaxed SiH3NO crystal.

abc: 2.891 4.622 4.739
angles: 86.57 77.77 83.63
Fractional coordinates of all 6 atoms:
H 0.519 0.587 0.264
H 0.058 0.451 0.132
H 0.655 0.303 0.019
O 0.241 0.935 0.431
N 0.725 0.391 0.206
Si 0.670 0.115 0.548

theoretical density	1.65	Mg/m³
D(E_F)	0.00	states/eV/cell
polymorph energy (0 for the lowest one)	223	meV per atom

Record 2
Density functional theory data (GGA-PBE) for a relaxed SiH3NO crystal.

abc: 2.845 5.239 5.265
angles: 66.97 79.31 75.48
Fractional coordinates of all 6 atoms:
H 0.118 0.601 0.087
H 0.644 0.431 0.972
H 0.117 0.082 0.581
Si 0.269 0.785 0.594
O 0.841 0.742 0.440
N 0.298 0.541 0.927

theoretical density	1.46	Mg/m³
D(E_F)	0.00	states/eV/cell
polymorph energy (0 for the lowest one)	12	meV per atom

Record 3
Density functional theory data (GGA-PBE) for a relaxed SiH3NO crystal.

abc: 3.242 3.420 9.222
angles: 90.00 90.00 90.00
Fractional coordinates of all 12 atoms:
H 0.500 0.761 0.562
H 0.000 0.000 0.901
H 0.500 0.739 0.062
H 0.500 0.239 0.562
H 0.500 0.261 0.062
H 0.000 0.500 0.401
O 0.000 0.000 0.230
O 0.000 0.500 0.730
N 0.500 0.500 0.129
N 0.500 0.000 0.629
Si 0.000 0.000 0.737
Si 0.000 0.500 0.237

theoretical density	1.99	Mg/m³
D(E_F)	0.00	states/eV/cell
polymorph energy (0 for the lowest one)	96	meV per atom

> What is the formula in the third record?

SiH3NO

> Look up the theoretical density of the third one.

1.99 Mg/m³